{
  "formula": "Sm2Dy2Tm",
  "functional": "GGA-PBE",
  "state": "optimized geometry",
  "lattice": [[5.8186, 0.0000, 2.3922], [1.1866, 6.4418, 5.3862], [-0.5036, 1.3637, 9.4973]],
  "species": ["Tm", "Tm", "Sm", "Sm", "Sm", "Sm", "Dy", "Dy", "Dy", "Dy"],
  "fractional_positions": [[0.4168, 0.2500, 0.7500], [0.5832, 0.7500, 0.2500], [0.2151, 0.2456, 0.1521], [0.7849, 0.7544, 0.8479], [0.6128, 0.2544, 0.3479], [0.3872, 0.7456, 0.6521], [0.8187, 0.2442, 0.9520], [0.0149, 0.2558, 0.5480], [0.9851, 0.7442, 0.4520], [0.1813, 0.7558, 0.0480]],
  "de_polymorph_ev_per_atom": 0.0000,
  "formation_energy_ev_per_atom": 0.015
}

{
  "formula": "AcErMg2Cd4",
  "functional": "GGA-PBE",
  "state": "optimized geometry",
  "lattice": [[-2.2336, -4.5832, 0.9813], [2.6296, -3.6750, 2.5567], [-2.9072, 0.3538, 8.7705]],
  "species": ["Cd", "Cd", "Cd", "Cd", "Ac", "Er", "Mg", "Mg"],
  "fractional_positions": [[0.3843, 0.3843, 0.8472], [0.1294, 0.1294, 0.6118], [0.6157, 0.6157, 0.1528], [0.8706, 0.8706, 0.3882], [0.0000, 0.0000, 0.0000], [0.5000, 0.5000, 0.5000], [0.7535, 0.7535, 0.7396], [0.2465, 0.2465, 0.2604]],
  "formation_energy_ev_per_atom": -0.270
}

{
  "formula": "Si2Pt2S",
  "functional": "GGA-PBE",
  "state": "optimized geometry",
  "lattice": [[7.5679, 0.0000, 0.0000], [0.0000, 7.5679, 0.0000], [0.0000, 0.0000, 2.7168]],
  "species": ["Pt", "Pt", "Pt", "Pt", "Si", "Si", "Si", "Si", "S", "S"],
  "fractional_positions": [[0.1278, 0.6278, 0.5000], [0.8722, 0.3722, 0.5000], [0.3722, 0.1278, 0.5000], [0.6278, 0.8722, 0.5000], [0.8294, 0.6706, 0.0000], [0.1706, 0.3294, 0.0000], [0.6706, 0.1706, 0.0000], [0.3294, 0.8294, 0.0000], [0.5000, 0.5000, 0.0000], [0.0000, 0.0000, 0.0000]],
  "raw_formation_energy_ev_per_atom": -0.025,
  "de_polymorph_ev_per_atom": 0.1591
}

{
  "formula": "Rb3InP2O8",
  "functional": "GGA-PBE",
  "state": "optimized geometry",
  "lattice": [[-0.6432, 5.6120, -10.3658], [-10.0884, 0.3164, 0.7972], [-8.8948, 14.5608, 8.4350]],
  "species": ["O", "O", "O", "O", "O", "O", "O", "O", "O", "O", "O", "O", "O", "O", "O", "O", "O", "O", "O", "O", "O", "O", "O", "O", "O", "O", "O", "O", "O", "O", "O", "O", "O", "O", "O", "O", "O", "O", "O", "O", "O", "O", "O", "O", "O", "O", "O", "O", "O", "O", "O", "O", "O", "O", "O", "O", "O", "O", "O", "O", "O", "O", "O", "O", "P", "P", "P", "P", "P", "P", "P", "P", "P", "P", "P", "P", "P", "P", "P", "P", "In", "In", "In", "In", "In", "In", "In", "In", "Rb", "Rb", "Rb", "Rb", "Rb", "Rb", "Rb", "Rb", "Rb", "Rb", "Rb", "Rb", "Rb", "Rb", "Rb", "Rb", "Rb", "Rb", "Rb", "Rb", "Rb", "Rb", "Rb", "Rb"],
  "fractional_positions": [[0.4792, 0.3905, 0.5932], [0.4531, 0.4683, 0.9122], [0.6539, 0.0599, 0.5000], [0.2600, 0.4991, 0.3760], [0.5409, 0.8620, 0.6247], [0.8432, 0.2768, 0.6351], [0.9292, 0.3958, 0.8818], [0.4126, 0.8817, 0.3906], [0.8945, 0.3698, 0.7354], [0.7211, 0.0297, 0.3533], [0.3461, 0.9401, 0.5000], [0.6912, 0.4391, 0.4818], [0.7400, 0.5009, 0.6240], [0.7549, 0.9207, 0.1394], [0.2451, 0.0793, 0.8606], [0.2549, 0.0793, 0.3606], [0.0874, 0.8817, 0.8906], [0.7600, 0.5009, 0.1240], [0.7986, 0.6315, 0.8289], [0.8214, 0.2444, 0.3531], [0.1786, 0.7556, 0.6469], [0.2400, 0.4991, 0.8760], [0.9591, 0.8620, 0.1247], [0.6055, 0.3698, 0.2354], [0.7014, 0.6315, 0.3289], [0.3214, 0.7556, 0.1469], [0.5667, 0.9943, 0.8941], [0.5708, 0.3958, 0.3818], [0.1912, 0.5609, 0.0182], [0.1539, 0.9401, 0.0000], [0.6181, 0.1776, 0.7462], [0.2986, 0.3685, 0.6711], [0.6568, 0.2768, 0.1351], [0.6786, 0.2444, 0.8531], [0.9792, 0.6095, 0.9068], [0.3819, 0.8224, 0.2538], [0.8088, 0.4391, 0.9818], [0.5208, 0.6095, 0.4068], [0.7451, 0.9207, 0.6394], [0.5874, 0.1183, 0.6094], [0.3088, 0.5609, 0.5182], [0.2789, 0.9703, 0.6467], [0.8819, 0.1776, 0.2462], [0.0208, 0.3905, 0.0932], [0.0469, 0.4683, 0.4122], [0.1181, 0.8224, 0.7538], [0.9126, 0.1183, 0.1094], [0.3945, 0.6302, 0.7646], [0.4591, 0.1380, 0.3753], [0.8461, 0.0599, 0.0000], [0.1568, 0.7232, 0.3649], [0.7789, 0.0297, 0.8533], [0.4333, 0.0057, 0.1059], [0.0409, 0.1380, 0.8753], [0.0708, 0.6042, 0.1182], [0.3432, 0.7232, 0.8649], [0.9531, 0.5317, 0.5878], [0.1055, 0.6302, 0.2646], [0.2211, 0.9703, 0.1467], [0.2014, 0.3685, 0.1711], [0.9333, 0.9943, 0.3941], [0.4292, 0.6042, 0.6182], [0.5469, 0.5317, 0.0878], [0.0667, 0.0057, 0.6059], [0.3665, 0.0088, 0.4061], [0.8417, 0.1073, 0.3370], [0.6583, 0.1073, 0.8370], [0.3417, 0.8927, 0.1630], [0.6395, 0.4201, 0.1453], [0.1395, 0.5799, 0.3547], [0.8665, 0.9912, 0.0939], [0.1583, 0.8927, 0.6630], [0.6335, 0.9912, 0.5939], [0.8781, 0.5196, 0.8988], [0.1335, 0.0088, 0.9061], [0.3781, 0.4804, 0.6012], [0.3605, 0.5799, 0.8547], [0.6219, 0.5196, 0.3988], [0.1219, 0.4804, 0.1012], [0.8605, 0.4201, 0.6453], [0.8492, 0.3128, 0.1139], [0.6508, 0.3128, 0.6139], [0.1508, 0.6872, 0.8861], [0.1321, 0.7887, 0.1321], [0.3492, 0.6872, 0.3861], [0.6321, 0.2113, 0.3679], [0.8679, 0.2113, 0.8679], [0.3679, 0.7887, 0.6321], [0.3793, 0.3214, 0.0829], [0.6202, 0.1952, 0.0089], [0.1202, 0.8048, 0.4911], [0.3643, 0.4298, 0.2576], [0.1082, 0.2369, 0.0008], [0.8918, 0.7631, 0.9992], [0.9156, 0.7154, 0.6715], [0.8793, 0.6786, 0.4171], [0.1007, 0.0451, 0.2456], [0.6357, 0.5702, 0.7424], [0.1207, 0.3214, 0.5829], [0.8643, 0.5702, 0.2424], [0.4156, 0.2846, 0.8285], [0.6007, 0.9549, 0.2544], [0.5844, 0.7154, 0.1715], [0.8798, 0.1952, 0.5089], [0.3993, 0.0451, 0.7456], [0.3918, 0.2369, 0.5008], [0.0844, 0.2846, 0.3285], [0.6082, 0.7631, 0.4992], [0.1357, 0.4298, 0.7576], [0.8993, 0.9549, 0.7544], [0.3798, 0.8048, 0.9911], [0.6207, 0.6786, 0.9171]],
  "raw_formation_energy_ev_per_atom": -2.158
}

{
  "formula": "NiMo2Se",
  "functional": "GGA-PBE",
  "state": "optimized geometry",
  "lattice": [[4.8104, -0.0029, 0.0150], [3.9079, 2.8050, 0.0150], [1.2956, 0.4164, 4.3293]],
  "species": ["Se", "Mo", "Mo", "Ni"],
  "fractional_positions": [[0.2367, 0.2367, 0.2197], [0.9799, 0.9799, 0.0511], [0.7730, 0.7730, 0.6829], [0.5104, 0.5104, 0.5463]],
  "raw_formation_energy_ev_per_atom": 0.148
}

{
  "formula": "Dy2Y2HoMg5",
  "functional": "GGA-PBE",
  "state": "optimized geometry",
  "lattice": [[5.0523, 0.0000, 0.0000], [0.0000, 10.5865, 0.0000], [0.0000, 0.0000, 10.5865]],
  "species": ["Mg", "Mg", "Mg", "Mg", "Mg", "Mg", "Mg", "Mg", "Mg", "Mg", "Y", "Y", "Y", "Y", "Dy", "Dy", "Dy", "Dy", "Ho", "Ho"],
  "fractional_positions": [[0.5000, 0.8028, 0.9318], [0.5000, 0.3028, 0.5682], [0.5000, 0.0682, 0.8028], [0.5000, 0.5000, 0.0000], [0.5000, 0.1972, 0.0682], [0.5000, 0.4318, 0.3028], [0.5000, 0.0000, 0.5000], [0.5000, 0.6972, 0.4318], [0.5000, 0.5682, 0.6972], [0.5000, 0.9318, 0.1972], [0.0000, 0.1784, 0.3216], [0.0000, 0.6784, 0.1784], [0.0000, 0.8216, 0.6784], [0.0000, 0.3216, 0.8216], [0.0000, 0.1188, 0.6188], [0.0000, 0.6188, 0.8812], [0.0000, 0.8812, 0.3812], [0.0000, 0.3812, 0.1188], [0.0000, 0.5000, 0.5000], [0.0000, 0.0000, 0.0000]],
  "formation_energy_ev_per_atom": 0.079
}

{
  "formula": "Al3BS6",
  "functional": "GGA-PBE",
  "state": "optimized geometry",
  "lattice": [[-3.9948, 3.9957, 1.0577], [-5.5328, -4.6763, -3.2313], [0.2329, -1.8105, 7.7194]],
  "species": ["S", "S", "S", "S", "S", "S", "S", "S", "S", "S", "S", "S", "Al", "Al", "Al", "Al", "Al", "Al", "B", "B"],
  "fractional_positions": [[0.6472, 0.6326, 0.7086], [0.6472, 0.2914, 0.3674], [0.7242, 0.1850, 0.8150], [0.1921, 0.1227, 0.5679], [0.2385, 0.0702, 0.9298], [0.2242, 0.8150, 0.1850], [0.7385, 0.9298, 0.0702], [0.1472, 0.3674, 0.2914], [0.1921, 0.4321, 0.8773], [0.1472, 0.7086, 0.6326], [0.6921, 0.8773, 0.4321], [0.6921, 0.5679, 0.1227], [0.4724, 0.9198, 0.6898], [0.4724, 0.3102, 0.0802], [0.3449, 0.4176, 0.5824], [0.8449, 0.5824, 0.4176], [0.9724, 0.0802, 0.3102], [0.9724, 0.6898, 0.9198], [0.5544, 0.8004, 0.1996], [0.0544, 0.1996, 0.8004]],
  "raw_formation_energy_ev_per_atom": -0.687
}

{
  "formula": "MgZnCo3",
  "functional": "GGA-PBE",
  "state": "optimized geometry",
  "lattice": [[4.3765, 0.0000, 0.0000], [0.0000, 4.3765, 0.0000], [0.0000, 0.0000, 4.3765]],
  "species": ["Zn", "Co", "Co", "Co", "Mg"],
  "fractional_positions": [[0.0000, 0.0000, 0.0000], [0.0000, 0.0000, 0.5000], [0.5000, 0.0000, 0.0000], [0.0000, 0.5000, 0.0000], [0.5000, 0.5000, 0.5000]],
  "de_polymorph_ev_per_atom": 0.0000,
  "formation_energy_ev_per_atom": 0.953
}

Repeat the fifth record exactly.
{
  "formula": "NiMo2Se",
  "functional": "GGA-PBE",
  "state": "optimized geometry",
  "lattice": [[4.8104, -0.0029, 0.0150], [3.9079, 2.8050, 0.0150], [1.2956, 0.4164, 4.3293]],
  "species": ["Se", "Mo", "Mo", "Ni"],
  "fractional_positions": [[0.2367, 0.2367, 0.2197], [0.9799, 0.9799, 0.0511], [0.7730, 0.7730, 0.6829], [0.5104, 0.5104, 0.5463]],
  "raw_formation_energy_ev_per_atom": 0.148
}